# GGA-PBE InTcRh, optimized geometry
# **Raw total energy**: -20.684 eV/f.u.
# **Symmetry**: P2_1/m, No. 11
# **Excess energy over the best structure of this formula in the dataset**: 0 meV per atom
# **Energy of formation**: -1.8 kcal/mol of atoms
# **Density**: 10.54 g cm⁻³
data_InTcRh
_cell_length_a 2.9770
_cell_length_b 4.3819
_cell_length_c 7.6284
_cell_angle_alpha 90.00
_cell_angle_beta 90.22
_cell_angle_gamma 90.00
_space_group_name_H-M_alt 'P 1'
_space_group_IT_number 1
loop_
_space_group_symop_operation_xyz
'x,y,z'
loop_
_atom_site_label
_atom_site_type_symbol
_atom_site_fract_x
_atom_site_fract_y
_atom_site_fract_z
In1 In 0.2459 0.2500 0.6349
In2 In 0.7541 0.7500 0.3651
Tc1 Tc 0.7597 0.2500 0.9711
Tc2 Tc 0.2403 0.7500 0.0289
Rh1 Rh 0.2561 0.2500 0.2589
Rh2 Rh 0.7439 0.7500 0.7411